# GGA-PBEsol MgGaRh2, relaxed
data_MgGaRh2
_chemical_formula_sum 'Mg1 Ga1 Rh2'
_space_group_name_H-M_alt 'P 1'
_space_group_IT_number 1
_space_group_name_Hall 'P 1'
_cell_length_a 4.272
_cell_length_b 4.272
_cell_length_c 4.272
_cell_angle_alpha 60.00
_cell_angle_beta 60.00
_cell_angle_gamma 60.00
loop_
_atom_site_label
_atom_site_fract_x
_atom_site_fract_y
_atom_site_fract_z
Rh1 0.250 0.250 0.250
Ga1 0.500 0.500 0.500
Mg1 0.000 0.000 0.000
Rh2 0.750 0.750 0.750
# - M_tot (μB/cell) = 0.000
# - calculated formation energy (meV/atom) = -669
# - Fermi-level density of states (states/eV per atom) = 0.30
# - space-group type = No. 225

---

# GGA-PBEsol Mg2GaRh2, relaxed
data_Mg2GaRh2
_chemical_formula_sum 'Mg4 Ga2 Rh4'
_space_group_name_H-M_alt 'P 1'
_space_group_IT_number 1
_space_group_name_Hall 'P 1'
_cell_length_a 4.084
_cell_length_b 6.311
_cell_length_c 6.311
_cell_angle_alpha 90.00
_cell_angle_beta 90.00
_cell_angle_gamma 90.00
loop_
_atom_site_label
_atom_site_fract_x
_atom_site_fract_y
_atom_site_fract_z
Ga1 0.000 0.000 0.000
Rh1 0.000 0.856 0.644
Mg1 0.500 0.337 0.163
Mg2 0.500 0.663 0.837
Rh2 0.000 0.644 0.144
Ga2 0.000 0.500 0.500
Mg3 0.500 0.837 0.337
Rh3 0.000 0.144 0.356
Rh4 0.000 0.356 0.856
Mg4 0.500 0.163 0.663
# - M_tot (μB/cell) = 0.000
# - calculated formation energy (meV/atom) = -554
# - Fermi-level density of states (states/eV per atom) = 0.24
# - space-group type = No. 127

---

# GGA-PBEsol MgGa2Rh2, relaxed
data_MgGa2Rh2
_chemical_formula_sum 'Mg1 Ga2 Rh2'
_space_group_name_H-M_alt 'P 1'
_space_group_IT_number 1
_space_group_name_Hall 'P 1'
_cell_length_a 4.156
_cell_length_b 4.156
_cell_length_c 5.677
_cell_angle_alpha 111.47
_cell_angle_beta 111.47
_cell_angle_gamma 90.00
loop_
_atom_site_label
_atom_site_fract_x
_atom_site_fract_y
_atom_site_fract_z
Rh1 0.750 0.250 0.500
Rh2 0.250 0.750 0.500
Ga1 0.625 0.625 0.249
Ga2 0.375 0.375 0.751
Mg1 0.000 0.000 0.000
# - M_tot (μB/cell) = 0.000
# - excess energy over the best structure of this formula in the dataset (eV per atom) = 0.197
# - calculated formation energy (meV/atom) = -432
# - Fermi-level density of states (states/eV per atom) = 0.18
# - space-group type = No. 139

---

# GGA-PBEsol MgGa2Rh2, relaxed
data_MgGa2Rh2
_chemical_formula_sum 'Mg2 Ga4 Rh4'
_space_group_name_H-M_alt 'P 1'
_space_group_IT_number 1
_space_group_name_Hall 'P 1'
_cell_length_a 2.932
_cell_length_b 7.128
_cell_length_c 7.128
_cell_angle_alpha 90.00
_cell_angle_beta 90.00
_cell_angle_gamma 90.00
loop_
_atom_site_label
_atom_site_fract_x
_atom_site_fract_y
_atom_site_fract_z
Rh1 0.000 0.147 0.353
Ga1 0.500 0.150 0.650
Rh2 0.000 0.353 0.853
Rh3 0.000 0.853 0.647
Ga2 0.500 0.350 0.150
Ga3 0.500 0.650 0.850
Mg1 0.000 0.500 0.500
Rh4 0.000 0.647 0.147
Mg2 0.000 0.000 0.000
Ga4 0.500 0.850 0.350
# - M_tot (μB/cell) = 0.000
# - excess energy over the best structure of this formula in the dataset (eV per atom) = 0.000
# - calculated formation energy (meV/atom) = -629
# - Fermi-level density of states (states/eV per atom) = 0.26
# - space-group type = No. 127

---

# GGA-PBEsol Mg2GaRu2, relaxed
data_Mg2GaRu2
_chemical_formula_sum 'Mg4 Ga2 Ru4'
_space_group_name_H-M_alt 'P 1'
_space_group_IT_number 1
_space_group_name_Hall 'P 1'
_cell_length_a 4.228
_cell_length_b 6.258
_cell_length_c 6.258
_cell_angle_alpha 90.00
_cell_angle_beta 90.00
_cell_angle_gamma 90.00
loop_
_atom_site_label
_atom_site_fract_x
_atom_site_fract_y
_atom_site_fract_z
Ru1 0.000 0.365 0.865
Ru2 0.000 0.135 0.365
Mg1 0.500 0.168 0.668
Mg2 0.500 0.332 0.168
Ga1 0.000 0.500 0.500
Ru3 0.000 0.865 0.635
Mg3 0.500 0.832 0.332
Mg4 0.500 0.668 0.832
Ru4 0.000 0.635 0.135
Ga2 0.000 0.000 0.000
# - M_tot (μB/cell) = 0.007
# - calculated formation energy (meV/atom) = -90
# - Fermi-level density of states (states/eV per atom) = 1.01
# - space-group type = No. 127

---

# GGA-PBEsol Mg2Ga2S5, relaxed
data_Mg2Ga2S5
_chemical_formula_sum 'Mg2 Ga2 S5'
_space_group_name_H-M_alt 'P 1'
_space_group_IT_number 1
_space_group_name_Hall 'P 1'
_cell_length_a 3.686
_cell_length_b 3.686
_cell_length_c 15.309
_cell_angle_alpha 90.00
_cell_angle_beta 90.00
_cell_angle_gamma 120.00
loop_
_atom_site_label
_atom_site_fract_x
_atom_site_fract_y
_atom_site_fract_z
S1 0.667 0.333 0.186
Mg1 0.333 0.667 0.098
Ga1 0.667 0.333 0.328
S2 0.667 0.333 0.606
Mg2 0.667 0.333 0.902
S3 0.000 0.000 0.000
S4 0.333 0.667 0.394
S5 0.333 0.667 0.814
Ga2 0.333 0.667 0.672
# - M_tot (μB/cell) = 0.000
# - formation energy (no corrections) (eV/atom) = -1.041
# - space-group type = No. 164

---

# GGA-PBEsol Mg2ZnGaS, relaxed
data_Mg2ZnGaS
_chemical_formula_sum 'Mg2 Zn1 Ga1 S1'
_space_group_name_H-M_alt 'P 1'
_space_group_IT_number 1
_space_group_name_Hall 'P 1'
_cell_length_a 4.721
_cell_length_b 4.983
_cell_length_c 4.983
_cell_angle_alpha 90.00
_cell_angle_beta 90.00
_cell_angle_gamma 90.00
loop_
_atom_site_label
_atom_site_fract_x
_atom_site_fract_y
_atom_site_fract_z
Zn1 0.000 0.000 0.000
Mg1 0.000 0.000 0.500
Mg2 0.000 0.500 0.000
S1 0.500 0.000 0.000
Ga1 0.500 0.500 0.500
# - M_tot (μB/cell) = 0.000
# - formation energy (no corrections) (eV/atom) = 0.311
# - Fermi-level density of states (states/eV per atom) = 0.68
# - space-group type = No. 123

---

# GGA-PBEsol Mg2GaSb2, relaxed
data_Mg2GaSb2
_chemical_formula_sum 'Mg2 Ga1 Sb2'
_space_group_name_H-M_alt 'P 1'
_space_group_IT_number 1
_space_group_name_Hall 'P 1'
_cell_length_a 4.601
_cell_length_b 4.601
_cell_length_c 7.166
_cell_angle_alpha 108.72
_cell_angle_beta 108.72
_cell_angle_gamma 90.00
loop_
_atom_site_label
_atom_site_fract_x
_atom_site_fract_y
_atom_site_fract_z
Mg1 0.250 0.750 0.500
Ga1 0.000 0.000 0.000
Sb1 0.383 0.383 0.766
Sb2 0.617 0.617 0.234
Mg2 0.750 0.250 0.500
# - M_tot (μB/cell) = 0.000
# - formation energy (no corrections) (eV/atom) = -0.036
# - Fermi-level density of states (states/eV per atom) = 0.43
# - space-group type = No. 139

---

# GGA-PBEsol MgScGa, relaxed
data_MgScGa
_chemical_formula_sum 'Mg1 Sc1 Ga1'
_space_group_name_H-M_alt 'P 1'
_space_group_IT_number 1
_space_group_name_Hall 'P 1'
_cell_length_a 4.524
_cell_length_b 4.524
_cell_length_c 4.524
_cell_angle_alpha 60.00
_cell_angle_beta 60.00
_cell_angle_gamma 60.00
loop_
_atom_site_label
_atom_site_fract_x
_atom_site_fract_y
_atom_site_fract_z
Mg1 0.000 0.000 0.000
Ga1 0.750 0.750 0.750
Sc1 0.500 0.500 0.500
# - M_tot (μB/cell) = 0.000
# - calculated formation energy (meV/atom) = -300
# - Fermi-level density of states (states/eV per atom) = 1.23
# - space-group type = No. 216

---

# GGA-PBEsol MgSc2Ga2, relaxed
data_MgSc2Ga2
_chemical_formula_sum 'Mg2 Sc4 Ga4'
_space_group_name_H-M_alt 'P 1'
_space_group_IT_number 1
_space_group_name_Hall 'P 1'
_cell_length_a 3.771
_cell_length_b 7.177
_cell_length_c 7.177
_cell_angle_alpha 90.00
_cell_angle_beta 90.00
_cell_angle_gamma 90.00
loop_
_atom_site_label
_atom_site_fract_x
_atom_site_fract_y
_atom_site_fract_z
Sc1 0.500 0.174 0.674
Sc2 0.500 0.326 0.174
Sc3 0.500 0.674 0.826
Mg1 0.000 0.000 0.000
Sc4 0.500 0.826 0.326
Ga1 0.000 0.876 0.624
Ga2 0.000 0.624 0.124
Ga3 0.000 0.376 0.876
Ga4 0.000 0.124 0.376
Mg2 0.000 0.500 0.500
# - M_tot (μB/cell) = 0.001
# - calculated formation energy (meV/atom) = -545
# - Fermi-level density of states (states/eV per atom) = 0.78
# - space-group type = No. 127

---

# GGA-PBEsol Mg2GaSnSe, relaxed
data_Mg2GaSnSe
_chemical_formula_sum 'Mg2 Ga1 Sn1 Se1'
_space_group_name_H-M_alt 'P 1'
_space_group_IT_number 1
_space_group_name_Hall 'P 1'
_cell_length_a 5.251
_cell_length_b 5.251
_cell_length_c 5.631
_cell_angle_alpha 90.00
_cell_angle_beta 90.00
_cell_angle_gamma 90.00
loop_
_atom_site_label
_atom_site_fract_x
_atom_site_fract_y
_atom_site_fract_z
Mg1 0.500 0.000 0.000
Ga1 0.500 0.500 0.500
Mg2 0.000 0.500 0.000
Se1 0.000 0.000 0.500
Sn1 0.000 0.000 0.000
# - M_tot (μB/cell) = 0.000
# - formation energy (no corrections) (eV/atom) = 0.360
# - Fermi-level density of states (states/eV per atom) = 0.49
# - space-group type = No. 123

---

# GGA-PBEsol SmMgGa, relaxed
data_SmMgGa
_chemical_formula_sum 'Sm3 Mg3 Ga3'
_space_group_name_H-M_alt 'P 1'
_space_group_IT_number 1
_space_group_name_Hall 'P 1'
_cell_length_a 4.439
_cell_length_b 7.306
_cell_length_c 7.306
_cell_angle_alpha 120.00
_cell_angle_beta 90.00
_cell_angle_gamma 90.00
loop_
_atom_site_label
_atom_site_fract_x
_atom_site_fract_y
_atom_site_fract_z
Mg1 0.500 0.756 0.756
Ga1 0.000 0.000 0.000
Mg2 0.500 0.244 0.000
Sm1 0.000 0.000 0.576
Sm2 0.000 0.576 0.000
Mg3 0.500 0.000 0.244
Ga2 0.500 0.333 0.667
Ga3 0.500 0.667 0.333
Sm3 0.000 0.424 0.424
# - M_tot (μB/cell) = 0.000
# - calculated formation energy (meV/atom) = -512
# - Fermi-level density of states (states/eV per atom) = 0.15
# - space-group type = No. 189